A geometry-optimized Zn2InTe structure, computed with PBE.

Output
Total moment in μB/f.u.: 0.00
Uncorrected formation energy in eV per atom: 0.1200
Energy in eV/atom: -1.987
E above lowest polymorph in meV/atom: 125
Calculated volume in Å³ per cell: 93

a = 3.4378 Å, b = 3.4378 Å, c = 7.8717 Å
α = 90.00°, β = 90.00°, γ = 90.00°
Sites, in units of the cell vectors:
In: 0.0000 0.0000 0.4512
Te: 0.5000 0.5000 0.8064
Zn: 0.0000 0.0000 0.0377
Zn: 0.5000 0.5000 0.2047